DyY2Zn2Si4Au2 | PBE | relaxed

Results
* electronic total energy: -5.04 eV per atom
* theoretical density: 7.63 Mg/m³
* energy above the most stable polymorph in this dataset: 0 meV/atom

abc: 4.037 4.205 25.054
angles: 90.00 90.00 90.00
Space group Immm (No. 71)
Symmetry-distinct sites (fractional):
Dy: 0.000 0.000 0.000
Y: 0.000 0.500 0.146
Zn: 0.000 0.000 0.251
Si: 0.000 0.000 0.453
Si: 0.000 0.500 0.309
Au: 0.000 0.500 0.405